DFT (GGA+U) results for a relaxed structure of InPbWO2.

Structure (POSCAR):
```
InPbWO2
1.0
4.065 0.000 0.000
0.000 4.065 0.000
0.000 0.000 5.994
In Pb W O
1 1 1 2
Cartesian
0.000 0.000 0.000
2.033 2.033 0.000
0.000 0.000 2.997
0.000 2.033 2.997
2.033 0.000 2.997
```

Calculated values
For the density, the calculation gives 9.0 g cm⁻³. The calculation puts the calculated total energy at -5.34 eV per atom. The spin magnetization is 1.179 Bohr magnetons per cell.